Compound: TiZnTe2Br
Source: Alexandria via LeMat-Bulk
Functional: SCAN
Structure: single point on PBEsol structure Values from VASP.

uncorrected energy	-24.6990	eV per atom
formation energy (no corrections)	0.002	eV/atom

```
&SYSTEM
  ibrav = 0, nat = 5, ntyp = 4
/
ATOMIC_SPECIES
Zn 65.41 Zn.upf
Te 127.60 Te.upf
Br 79.90 Br.upf
Ti 47.87 Ti.upf
CELL_PARAMETERS angstrom
-3.463 1.490 3.518
1.873 -3.476 3.316
3.370 3.548 1.815
ATOMIC_POSITIONS crystal
Zn 0.000 0.000 0.500
Te 0.000 0.500 0.000
Te 0.500 0.000 0.000
Br 0.500 0.500 0.500
Ti 0.000 0.000 0.000
```

---

Compound: Ca2AgRu
Source: Alexandria via LeMat-Bulk
Functional: SCAN
Structure: single point on PBEsol structure Values from VASP.

formation enthalpy at 0 K	0.553	eV per formula unit
uncorrected energy	-21.2418	eV per atom

```
&SYSTEM
  ibrav = 0, nat = 4, ntyp = 3
/
ATOMIC_SPECIES
Ru 101.07 Ru.upf
Ca 40.08 Ca.upf
Ag 107.87 Ag.upf
CELL_PARAMETERS angstrom
3.287 0.000 0.000
0.000 5.061 0.000
0.000 0.000 5.067
ATOMIC_POSITIONS crystal
Ru 0.500 0.000 0.612
Ca 0.000 0.000 0.117
Ca 0.000 0.500 0.632
Ag 0.500 0.500 0.139
```

---

Compound: BeHgOs2
Source: Alexandria via LeMat-Bulk
Functional: SCAN
Structure: single point on PBEsol structure Values from VASP.

formation enthalpy at 0 K	0.889	eV per formula unit
energy above the lowest structure with this stoichiometry	0.000	eV per atom
uncorrected energy	-53.8477	eV per atom

```
&SYSTEM
  ibrav = 0, nat = 4, ntyp = 3
/
ATOMIC_SPECIES
Be 9.01 Be.upf
Os 190.23 Os.upf
Hg 200.59 Hg.upf
CELL_PARAMETERS angstrom
2.847 0.000 0.000
0.000 2.847 0.000
0.000 0.000 6.837
ATOMIC_POSITIONS crystal
Be 0.000 0.000 0.532
Os 0.000 0.000 0.967
Os 0.500 0.500 0.722
Hg 0.500 0.500 0.279
```

---

Compound: YTiCr3
Source: Alexandria via LeMat-Bulk
Functional: SCAN
Structure: single point on PBEsol structure Values from VASP.

formation enthalpy at 0 K	8.990	eV per formula unit
uncorrected energy	-18.0074	eV per atom

```
&SYSTEM
  ibrav = 0, nat = 5, ntyp = 3
/
ATOMIC_SPECIES
Y 88.91 Y.upf
Cr 52.00 Cr.upf
Ti 47.87 Ti.upf
CELL_PARAMETERS angstrom
-0.950 3.560 2.787
-4.520 -0.711 -0.632
-0.058 -2.857 3.630
ATOMIC_POSITIONS crystal
Y 0.000 0.000 0.000
Cr 0.000 0.500 0.000
Cr 0.000 0.000 0.500
Cr 0.500 0.000 0.000
Ti 0.500 0.500 0.500
```

---

Compound: BaGaSCl2
Source: Alexandria via LeMat-Bulk
Functional: SCAN
Structure: single point on PBEsol structure Values from VASP.

energy above the lowest structure with this stoichiometry	0.662	eV per atom
uncorrected energy	-17.2391	eV per atom
formation energy (no corrections)	-0.943	eV/atom

```
&SYSTEM
  ibrav = 0, nat = 5, ntyp = 4
/
ATOMIC_SPECIES
S 32.06 S.upf
Ba 137.33 Ba.upf
Ga 69.72 Ga.upf
Cl 35.45 Cl.upf
CELL_PARAMETERS angstrom
-5.545 0.249 1.839
1.747 -1.250 5.438
0.630 5.750 1.119
ATOMIC_POSITIONS crystal
S 0.000 0.000 0.500
Ba 0.000 0.000 0.000
Ga 0.500 0.500 0.500
Cl 0.000 0.500 0.000
Cl 0.500 0.000 0.000
```

---

Compound: SrLiSb2
Source: Alexandria via LeMat-Bulk
Functional: SCAN
Structure: single point on PBEsol structure Values from VASP.

energy above the lowest structure with this stoichiometry	0.053	eV per atom
uncorrected energy	-25.3953	eV per atom
formation energy (no corrections)	-0.599	eV/atom

```
&SYSTEM
  ibrav = 0, nat = 4, ntyp = 3
/
ATOMIC_SPECIES
Sb 121.76 Sb.upf
Sr 87.62 Sr.upf
Li 6.94 Li.upf
CELL_PARAMETERS angstrom
-0.686 -1.208 -3.810
-2.325 -4.042 1.700
-3.321 5.366 1.055
ATOMIC_POSITIONS crystal
Sb 0.046 0.983 0.091
Sb 0.743 0.339 0.486
Sr 0.479 0.419 0.958
Li 0.233 0.759 0.465
```

---

- Which value of uncorrected energy does entry 3 give?
  -53.8477 eV per atom

---

- The lowest uncorrected energy belongs to which entry?
  BeHgOs2

---

- Which value of uncorrected energy does entry 4 give?
  -18.0074 eV per atom

---

- Which of these has the highest uncorrected energy?
  BaGaSCl2